# 1
Material: KCoAsW2
Method: DFT, PBE
State: optimized geometry

Structure (CIF):
```
data_KCoAsW2
_symmetry_space_group_name_H-M 'P 4/m m m'
_symmetry_Int_Tables_number 123
_symmetry_space_group_name_Hall '-P 4 2'
_cell_length_a 4.496
_cell_length_b 4.496
_cell_length_c 4.984
_cell_angle_alpha 90.00
_cell_angle_beta 90.00
_cell_angle_gamma 90.00
loop_
_atom_site_label
_atom_site_type_symbol
_atom_site_fract_x
_atom_site_fract_y
_atom_site_fract_z
K1 K 0.000 0.000 0.000
Co1 Co 0.500 0.500 0.500
As1 As 0.000 0.000 0.500
W1 W 0.000 0.500 0.000
```

Its energy of formation from the pure elements is 3.669 eV per atom. The calculation puts the offset from the most stable computed form at 2088.0 meV per atom. As for the crystal system: tetragonal. Its total moment is 0.00 μB per formula unit. The total energy comes out at -0.15003 Ha/atom.



# 2
Material: KCoAsW2
Method: DFT, PBE
State: optimized geometry

Structure (CIF):
```
data_KCoAsW2
_symmetry_space_group_name_H-M 'P 4/m m m'
_symmetry_Int_Tables_number 123
_symmetry_space_group_name_Hall '-P 4 2'
_cell_length_a 4.703
_cell_length_b 4.703
_cell_length_c 4.688
_cell_angle_alpha 90.00
_cell_angle_beta 90.00
_cell_angle_gamma 90.00
loop_
_atom_site_label
_atom_site_type_symbol
_atom_site_fract_x
_atom_site_fract_y
_atom_site_fract_z
K1 K 0.000 0.000 0.000
Co1 Co 0.500 0.500 0.500
As1 As 0.500 0.500 0.000
W1 W 0.000 0.500 0.500
```

Its energy of formation from the pure elements is 1.581 eV per atom. The calculation puts the offset from the most stable computed form at 0.0 meV per atom. As for the crystal system: tetragonal. Its total moment is 3.28 μB per formula unit. The total energy comes out at -0.22676 Ha/atom.



# 3
Material: KY2CoAs
Method: DFT, PBE
State: optimized geometry

Structure (CIF):
```
data_KY2CoAs
_symmetry_space_group_name_H-M 'P 4/m m m'
_symmetry_Int_Tables_number 123
_symmetry_space_group_name_Hall '-P 4 2'
_cell_length_a 5.333
_cell_length_b 5.333
_cell_length_c 5.213
_cell_angle_alpha 90.00
_cell_angle_beta 90.00
_cell_angle_gamma 90.00
loop_
_atom_site_label
_atom_site_type_symbol
_atom_site_fract_x
_atom_site_fract_y
_atom_site_fract_z
K1 K 0.000 0.000 0.000
Y1 Y 0.000 0.500 0.000
Co1 Co 0.500 0.500 0.500
As1 As 0.000 0.000 0.500
```

Its energy of formation from the pure elements is 1.592 eV per atom. As for the crystal system: tetragonal. Its total moment is 1.88 μB per formula unit. The total energy comes out at -0.13097 Ha/atom.



# 4
Material: KZrCo2As
Method: DFT, PBE
State: optimized geometry

Structure (CIF):
```
data_KZrCo2As
_symmetry_space_group_name_H-M 'P 4/m m m'
_symmetry_Int_Tables_number 123
_symmetry_space_group_name_Hall '-P 4 2'
_cell_length_a 4.612
_cell_length_b 4.612
_cell_length_c 5.678
_cell_angle_alpha 90.00
_cell_angle_beta 90.00
_cell_angle_gamma 90.00
loop_
_atom_site_label
_atom_site_type_symbol
_atom_site_fract_x
_atom_site_fract_y
_atom_site_fract_z
K1 K 0.000 0.000 0.000
Zr1 Zr 0.000 0.000 0.500
Co1 Co 0.000 0.500 0.500
As1 As 0.500 0.500 0.000
```

Its energy of formation from the pure elements is 1.432 eV per atom. As for the crystal system: tetragonal. Its total moment is 1.54 μB per formula unit. The total energy comes out at -0.15690 Ha/atom.



# 5
Material: La2Co2As
Method: DFT, PBE
State: optimized geometry

Structure (CIF):
```
data_La2Co2As
_symmetry_space_group_name_H-M 'P 4/m b m'
_symmetry_Int_Tables_number 127
_symmetry_space_group_name_Hall '-P 4 2ab'
_cell_length_a 7.088
_cell_length_b 7.088
_cell_length_c 4.079
_cell_angle_alpha 90.00
_cell_angle_beta 90.00
_cell_angle_gamma 90.00
loop_
_atom_site_label
_atom_site_type_symbol
_atom_site_fract_x
_atom_site_fract_y
_atom_site_fract_z
La1 La 0.190 0.310 0.000
Co1 Co 0.113 0.613 0.500
As1 As 0.000 0.000 0.500
```

Its energy of formation from the pure elements is -0.416 eV per atom. As for the crystal system: tetragonal. Its total moment is 1.15 μB per formula unit. The total energy comes out at -0.22635 Ha/atom.



# 6
Material: LaCo3As
Method: DFT, PBE
State: optimized geometry

Structure (CIF):
```
data_LaCo3As
_symmetry_space_group_name_H-M 'P m -3 m'
_symmetry_Int_Tables_number 221
_symmetry_space_group_name_Hall '-P 4 2 3'
_cell_length_a 4.607
_cell_length_b 4.607
_cell_length_c 4.607
_cell_angle_alpha 90.00
_cell_angle_beta 90.00
_cell_angle_gamma 90.00
loop_
_atom_site_label
_atom_site_type_symbol
_atom_site_fract_x
_atom_site_fract_y
_atom_site_fract_z
La1 La 0.000 0.000 0.000
Co1 Co 0.000 0.000 0.500
As1 As 0.500 0.500 0.500
```

Its energy of formation from the pure elements is 1.527 eV per atom. The calculation puts the offset from the most stable computed form at 1504.0 meV per atom. As for the crystal system: cubic. Its total moment is 2.60 μB per formula unit. The total energy comes out at -0.17096 Ha/atom.



# 7
Material: LaCoAs3
Method: DFT, PBE
State: optimized geometry

Structure (CIF):
```
data_LaCoAs3
_symmetry_space_group_name_H-M 'P m -3 m'
_symmetry_Int_Tables_number 221
_symmetry_space_group_name_Hall '-P 4 2 3'
_cell_length_a 4.713
_cell_length_b 4.713
_cell_length_c 4.713
_cell_angle_alpha 90.00
_cell_angle_beta 90.00
_cell_angle_gamma 90.00
loop_
_atom_site_label
_atom_site_type_symbol
_atom_site_fract_x
_atom_site_fract_y
_atom_site_fract_z
La1 La 0.000 0.000 0.000
Co1 Co 0.500 0.500 0.500
As1 As 0.000 0.500 0.500
```

Its energy of formation from the pure elements is -0.372 eV per atom. As for the crystal system: cubic. Its total moment is 0.91 μB per formula unit. The total energy comes out at -0.20464 Ha/atom.



# 8
Material: La8Co2As
Method: DFT, PBE
State: optimized geometry

Structure (CIF):
```
data_La8Co2As
_symmetry_space_group_name_H-M 'C 1 m 1'
_symmetry_Int_Tables_number 8
_symmetry_space_group_name_Hall 'C -2y'
_cell_length_a 8.136
_cell_length_b 13.336
_cell_length_c 6.573
_cell_angle_alpha 90.00
_cell_angle_beta 110.64
_cell_angle_gamma 90.00
loop_
_atom_site_label
_atom_site_type_symbol
_atom_site_fract_x
_atom_site_fract_y
_atom_site_fract_z
La1 La 0.000 0.000 0.000
La2 La 0.100 0.364 0.805
La3 La 0.141 0.136 0.593
La4 La 0.216 0.500 0.382
La5 La 0.356 0.205 0.203
Co1 Co 0.386 0.307 0.694
As1 As 0.368 0.000 0.983
```

Its energy of formation from the pure elements is -0.242 eV per atom. As for the crystal system: monoclinic. Its total moment is 0.00 μB per formula unit. The total energy comes out at -0.20361 Ha/atom.



# 9
Material: LaCoAs2
Method: DFT, PBE
State: optimized geometry

Structure (CIF):
```
data_LaCoAs2
_symmetry_space_group_name_H-M 'I -4 2 d'
_symmetry_Int_Tables_number 122
_symmetry_space_group_name_Hall 'I -4 2bw'
_cell_length_a 4.930
_cell_length_b 4.930
_cell_length_c 15.110
_cell_angle_alpha 90.00
_cell_angle_beta 90.00
_cell_angle_gamma 90.00
loop_
_atom_site_label
_atom_site_type_symbol
_atom_site_fract_x
_atom_site_fract_y
_atom_site_fract_z
La1 La 0.000 0.000 0.000
Co1 Co 0.000 0.000 0.500
As1 As 0.089 0.250 0.625
```

Its energy of formation from the pure elements is -0.536 eV per atom. As for the crystal system: tetragonal. Its total moment is 0.00 μB per formula unit. The total energy comes out at -0.21569 Ha/atom.



# 10
Material: LaCoAs2
Method: DFT, PBE
State: optimized geometry

Structure (CIF):
```
data_LaCoAs2
_symmetry_space_group_name_H-M 'I m m m'
_symmetry_Int_Tables_number 71
_symmetry_space_group_name_Hall '-I 2 2'
_cell_length_a 3.912
_cell_length_b 5.987
_cell_length_c 7.159
_cell_angle_alpha 90.00
_cell_angle_beta 90.00
_cell_angle_gamma 90.00
loop_
_atom_site_label
_atom_site_type_symbol
_atom_site_fract_x
_atom_site_fract_y
_atom_site_fract_z
La1 La 0.000 0.000 0.000
Co1 Co 0.000 0.000 0.500
As1 As 0.000 0.500 0.184
```

Its energy of formation from the pure elements is -0.654 eV per atom. As for the crystal system: orthorhombic. Its total moment is 0.00 μB per formula unit. The total energy comes out at -0.22003 Ha/atom.



# 11
Material: LaCoAs2
Method: DFT, PBE
State: optimized geometry

Structure (CIF):
```
data_LaCoAs2
_symmetry_space_group_name_H-M 'C 1 2/m 1'
_symmetry_Int_Tables_number 12
_symmetry_space_group_name_Hall '-C 2y'
_cell_length_a 6.860
_cell_length_b 3.969
_cell_length_c 6.193
_cell_angle_alpha 90.00
_cell_angle_beta 111.72
_cell_angle_gamma 90.00
loop_
_atom_site_label
_atom_site_type_symbol
_atom_site_fract_x
_atom_site_fract_y
_atom_site_fract_z
La1 La 0.000 0.000 0.000
Co1 Co 0.000 0.500 0.500
As1 As 0.222 0.000 0.665
```

Its energy of formation from the pure elements is -0.769 eV per atom. As for the crystal system: monoclinic. Its total moment is 0.00 μB per formula unit. The total energy comes out at -0.22424 Ha/atom.



# 12
Material: LaCoAs2
Method: DFT, PBE
State: optimized geometry

Structure (CIF):
```
data_LaCoAs2
_symmetry_space_group_name_H-M 'I 4/m m m'
_symmetry_Int_Tables_number 139
_symmetry_space_group_name_Hall '-I 4 2'
_cell_length_a 4.024
_cell_length_b 4.024
_cell_length_c 20.151
_cell_angle_alpha 90.00
_cell_angle_beta 90.00
_cell_angle_gamma 90.00
loop_
_atom_site_label
_atom_site_type_symbol
_atom_site_fract_x
_atom_site_fract_y
_atom_site_fract_z
La1 La 0.000 0.000 0.118
Co1 Co 0.000 0.500 0.250
As1 As 0.000 0.000 0.311
As2 As 0.000 0.500 0.000
```

Its energy of formation from the pure elements is -0.872 eV per atom. As for the crystal system: tetragonal. Its total moment is 0.69 μB per formula unit. The total energy comes out at -0.22804 Ha/atom.